The following is a DFT calculation (PBE-GGA) of a geometry-optimized CsRb2IrF6 structure.

a = 6.182 Å, b = 9.414 Å, c = 7.736 Å
α = 90.00°, β = 90.00°, γ = 90.00°
Space group Pmmn (No. 59, origin choice 2)
Unique sites:
Cs  0.250  0.250  0.170 [2 per cell]
Rb  0.250  0.040  0.668 [4 per cell]
Ir  0.250  0.750  0.320 [2 per cell]
F  0.014  0.750  0.136 [4 per cell]
F  0.021  0.750  0.511 [4 per cell]
F  0.250  0.533  0.318 [4 per cell]

## Properties
**Magnetization**: 0.019 μB per atom
**Polymorph energy (0 for the lowest one)**: 0.0 kJ/mol of formula units
**ΔE_f (raw)**: -2.25 eV per atom